# Na2LiCd2 | Alexandria via LeMat-Bulk | PBE | relaxed
# - crystal system = orthorhombic
# - energy of formation (eV per atom) = -0.068
# - Fermi-level density of states (states/eV/f.u.) = 1.91
# - energy above the lowest structure with this stoichiometry (kJ/mol of formula units) = 24
# - VASP energy (eV/atom) = -1.344
data_Na2LiCd2
_chemical_formula_sum 'Na4 Li2 Cd4'
_cell_length_a 3.764
_cell_length_b 7.078
_cell_length_c 10.000
_cell_angle_alpha 90.00
_cell_angle_beta 90.00
_cell_angle_gamma 90.00
_symmetry_space_group_name_H-M 'I m m m'
_symmetry_Int_Tables_number 71
_symmetry_space_group_name_Hall '-I 2 2'
loop_
_atom_site_label
_atom_site_type_symbol
_atom_site_fract_x
_atom_site_fract_y
_atom_site_fract_z
Na1 Na 0.000 0.000 0.229
Li1 Li 0.000 0.500 0.000
Cd1 Cd 0.000 0.295 0.500

---

# NaLi6Cd6 | Alexandria via LeMat-Bulk | PBE | relaxed
# - crystal system = hexagonal
# - energy of formation (eV per atom) = -0.158
# - Fermi-level density of states (states/eV/f.u.) = 3.64
# - VASP energy (eV/atom) = -1.565
data_NaLi6Cd6
_chemical_formula_sum 'Na1 Li6 Cd6'
_cell_length_a 5.7973
_cell_length_b 5.7973
_cell_length_c 9.8067
_cell_angle_alpha 90.00
_cell_angle_beta 90.00
_cell_angle_gamma 120.00
_symmetry_space_group_name_H-M 'P 6/m m m'
_symmetry_Int_Tables_number 191
_symmetry_space_group_name_Hall '-P 6 2'
loop_
_atom_site_label
_atom_site_type_symbol
_atom_site_fract_x
_atom_site_fract_y
_atom_site_fract_z
Na1 Na 0.0000 0.0000 0.0000
Li1 Li 0.0000 0.0000 0.3420
Li2 Li 0.3333 0.6667 0.0000
Li3 Li 0.3333 0.6667 0.5000
Cd1 Cd 0.0000 0.5000 0.2470

---

# Na2LiCd2 | Alexandria via LeMat-Bulk | PBE | relaxed
# - crystal system = tetragonal
# - energy of formation (eV per atom) = -0.046
# - Fermi-level density of states (states/eV/f.u.) = 2.17
# - energy above the lowest structure with this stoichiometry (kJ/mol of formula units) = 34
# - VASP energy (eV/atom) = -1.322
data_Na2LiCd2
_chemical_formula_sum 'Na4 Li2 Cd4'
_cell_length_a 7.355
_cell_length_b 7.355
_cell_length_c 5.015
_cell_angle_alpha 90.00
_cell_angle_beta 90.00
_cell_angle_gamma 90.00
_symmetry_space_group_name_H-M 'P 4/m b m'
_symmetry_Int_Tables_number 127
_symmetry_space_group_name_Hall '-P 4 2ab'
loop_
_atom_site_label
_atom_site_type_symbol
_atom_site_fract_x
_atom_site_fract_y
_atom_site_fract_z
Na1 Na 0.169 0.331 0.000
Li1 Li 0.000 0.000 0.500
Cd1 Cd 0.140 0.640 0.500

---

# Na2LiCd2 | Alexandria via LeMat-Bulk | PBE | relaxed
# - crystal system = tetragonal
# - energy of formation (eV per atom) = -0.117
# - Fermi-level density of states (states/eV/f.u.) = 2.02
# - energy above the lowest structure with this stoichiometry (kJ/mol of formula units) = 0
# - VASP energy (eV/atom) = -1.393
data_Na2LiCd2
_chemical_formula_sum 'Na4 Li2 Cd4'
_cell_length_a 3.448
_cell_length_b 3.448
_cell_length_c 21.008
_cell_angle_alpha 90.00
_cell_angle_beta 90.00
_cell_angle_gamma 90.00
_symmetry_space_group_name_H-M 'I 4/m m m'
_symmetry_Int_Tables_number 139
_symmetry_space_group_name_Hall '-I 4 2'
loop_
_atom_site_label
_atom_site_type_symbol
_atom_site_fract_x
_atom_site_fract_y
_atom_site_fract_z
Na1 Na 0.000 0.000 0.180
Li1 Li 0.000 0.000 0.000
Cd1 Cd 0.000 0.000 0.425

---

# NaLiCd3 | Alexandria via LeMat-Bulk | PBE | relaxed
# - crystal system = monoclinic
# - energy of formation (eV per atom) = -0.098
# - Fermi-level density of states (states/eV/f.u.) = 1.57
# - energy above the lowest structure with this stoichiometry (kJ/mol of formula units) = 0
# - VASP energy (eV/atom) = -1.294
data_NaLiCd3
_chemical_formula_sum 'Na2 Li2 Cd6'
_cell_length_a 5.743
_cell_length_b 5.471
_cell_length_c 7.670
_cell_angle_alpha 90.00
_cell_angle_beta 106.10
_cell_angle_gamma 90.00
_symmetry_space_group_name_H-M 'P 1 21/m 1'
_symmetry_Int_Tables_number 11
_symmetry_space_group_name_Hall '-P 2yb'
loop_
_atom_site_label
_atom_site_type_symbol
_atom_site_fract_x
_atom_site_fract_y
_atom_site_fract_z
Na1 Na 0.138 0.250 0.113
Li1 Li 0.291 0.750 0.748
Cd1 Cd 0.024 0.250 0.619
Cd2 Cd 0.484 0.750 0.121
Cd3 Cd 0.500 0.000 0.500

---

# NaLi6Cd2 | Alexandria via LeMat-Bulk | PBE | relaxed
# - crystal system = monoclinic
# - energy of formation (eV per atom) = -0.088
# - Fermi-level density of states (states/eV/f.u.) = 4.68
# - energy above the lowest structure with this stoichiometry (kJ/mol of formula units) = 0
# - VASP energy (eV/atom) = -1.714
data_NaLi6Cd2
_chemical_formula_sum 'Na2 Li12 Cd4'
_cell_length_a 14.379
_cell_length_b 8.324
_cell_length_c 2.984
_cell_angle_alpha 90.00
_cell_angle_beta 92.76
_cell_angle_gamma 90.00
_symmetry_space_group_name_H-M 'C 1 2/m 1'
_symmetry_Int_Tables_number 12
_symmetry_space_group_name_Hall '-C 2y'
loop_
_atom_site_label
_atom_site_type_symbol
_atom_site_fract_x
_atom_site_fract_y
_atom_site_fract_z
Na1 Na 0.000 0.000 0.000
Li1 Li 0.000 0.347 0.500
Li2 Li 0.174 0.173 0.431
Cd1 Cd 0.167 0.500 0.001